This record from Alexandria via LeMat-Bulk describes a relaxed structure of Pm4Sm6Th. The functional is PBE-GGA.

As for the total energy: -4.84 eV/atom. The size of the total moment is 0.00 Bohr magnetons per cell. The volume comes out at 373.5 Å³/f.u. The value obtained for the density is 7.6 Mg/m³. As for the formation enthalpy at 0 K: 1.5 eV per formula unit.

The space group is Cmcm (No. 63) and the conventional cell measures 5.929, 9.707 and 25.961 Å, with angles of 90.00, 90.00 and 90.00 degrees. The inequivalent atoms are Pm at (0.000, 0.053, 0.123), Pm at (0.000, 0.352, 0.043), Sm at (0.000, 0.000, 0.000), Sm at (0.000, 0.059, 0.250), Sm at (0.000, 0.296, 0.603), Sm at (0.000, 0.386, 0.183) and Th at (0.000, 0.282, 0.750).

This record from Alexandria via LeMat-Bulk describes a relaxed structure of KRbInCl3. The functional is PBE-GGA.

As for the total energy: -3.26 eV/atom. The size of the total moment is 0.00 Bohr magnetons per cell. The volume comes out at 223.4 Å³/f.u. As for the uncorrected formation energy: -1.53 eV per atom. The value obtained for the density is 2.6 Mg/m³.

The space group is P2_1/m (No. 11) and the conventional cell measures 9.431, 4.552 and 11.363 Å, with angles of 90.00, 113.65 and 90.00 degrees. The inequivalent atoms are K at (0.069, 0.250, 0.362), Rb at (0.435, 0.250, 0.760), In at (0.117, 0.250, 0.980), Cl at (0.207, 0.750, 0.554), Cl at (0.275, 0.750, 0.921) and Cl at (0.303, 0.250, 0.225).